Density functional theory data (PBE) for a relaxed structure of Li2CrCdN.

Properties
M_tot   0.590 μB/atom
ρ   4.6 Mg/m³
Space group   P4/mmm (123)
DFT total energy   -4.7862 eV/atom

Structure (POSCAR):
```
Li2CrCdN
1.0
4.307 0.000 0.000
0.000 4.307 0.000
0.000 0.000 3.747
Cr N Li Cd
1 1 2 1
direct
0.000 0.000 0.500
0.000 0.000 0.000
0.000 0.500 0.000
0.500 0.000 0.000
0.500 0.500 0.500
```